Record 1
An optimized crystal structure of Pr3Sm3ScTe8. Source: Alexandria, functional PBE-GGA.

Geometry as extended XYZ:
```
15
Lattice="-1.663 -8.341 -2.618 8.134 3.453 -1.047 -2.973 -1.979 8.194" Properties=species:S:1:pos:R:3 pbc="T T T"
Pr 0.000 0.000 0.000
Pr 4.067 1.727 -0.523
Pr 3.236 -2.444 -1.832
Sm -2.318 -5.160 2.788
Sm 1.749 -3.433 2.265
Sm 2.581 0.737 3.574
Sc -1.487 -0.989 4.097
Te 2.922 -0.870 0.915
Te 0.577 -5.996 3.615
Te 2.156 -5.059 -0.374
Te 1.342 -1.807 4.904
Te -2.005 -6.827 0.160
Te 5.504 -0.039 4.369
Te -1.154 -2.558 1.500
Te 4.652 -4.308 3.030
```

Summary:
As for the uncorrected formation energy: -21.07 eV/f.u. As for the spin magnetization: 0.0 μB/cell.

Record 2
An optimized crystal structure of Pr3SmSc2Te6. Source: Alexandria, functional PBE-GGA.

Geometry as extended XYZ:
```
12
Lattice="4.350 0.000 0.000 0.000 8.893 0.235 -2.175 -2.648 9.262" Properties=species:S:1:pos:R:3 pbc="T T T"
Pr 2.175 4.446 0.118
Pr 2.175 -0.277 6.349
Pr 0.000 6.522 3.149
Sm 2.175 0.000 0.000
Sc 2.175 4.187 6.352
Sc 0.000 2.058 3.145
Te 0.000 6.234 6.345
Te 2.175 4.119 3.353
Te 2.175 0.010 3.152
Te 0.000 2.176 0.247
Te 2.175 4.069 9.250
Te 0.000 2.125 6.145
```

Summary:
As for the uncorrected formation energy: -15.69 eV/f.u. As for the spin magnetization: 0.0 μB/cell.

Number 1: theoretical density 6.4 g/cm3. Number 2: theoretical density 6.6 g/cm3.